# 1
Below is a geometry-optimized HgPbS2 structure, with properties calculated at the PBE level.

Calculated values
formation energy without anion corrections	-191	meV per atom
E above lowest polymorph	93	meV/atom
volume	310.2	Å³ per cell
uncorrected energy	-3.258	eV/atom
spin magnetization	0.000	μB/f.u.

Unit cell a=4.1062 b=4.1062 c=21.2449 alpha=90.00 beta=90.00 gamma=120.00
Space group R3m (No. 160, hexagonal axes)
One atom of each set of equivalent atoms:
Hg 0.0000 0.0000 0.0000 x3
Pb 0.0000 0.0000 0.1732 x3
S 0.0000 0.0000 0.4338 x3
S 0.0000 0.0000 0.6181 x3

***

# 2
Below is a geometry-optimized Hg2Pb2S structure, with properties calculated at the PBE level.

Calculated values
formation energy without anion corrections	-31	meV per atom
E above lowest polymorph	0	meV/atom
volume	295.1	Å³ per cell
uncorrected energy	-2.461	eV/atom
spin magnetization	0.000	μB/f.u.

Unit cell a=7.735 b=7.735 c=4.933 alpha=90.00 beta=90.00 gamma=90.00
Space group P4/mbm (No. 127)
One atom of each set of equivalent atoms:
Hg 0.147 0.353 0.000 x4
Pb 0.172 0.672 0.500 x4
S 0.000 0.000 0.500 x2

***

# 3
Below is a geometry-optimized HgPbS structure, with properties calculated at the PBE level.

Calculated values
formation energy without anion corrections	-201	meV per atom
E above lowest polymorph	107	meV/atom
volume	407.3	Å³ per cell
uncorrected energy	-2.913	eV/atom
spin magnetization	0.000	μB/f.u.

Unit cell a=6.914 b=3.975 c=15.014 alpha=90.00 beta=99.21 gamma=90.00
Space group C2/m (No. 12)
One atom of each set of equivalent atoms:
Hg 0.132 0.000 0.411 x4
Pb 0.108 0.500 0.789 x4
S 0.192 0.500 0.115 x4

***

# 4
Below is a geometry-optimized Hg2PbS structure, with properties calculated at the PBE level.

Calculated values
formation energy without anion corrections	-52	meV per atom
volume	412.9	Å³ per cell
uncorrected energy	-2.162	eV/atom
spin magnetization	0.000	μB/f.u.

Unit cell a=8.330 b=8.330 c=5.950 alpha=90.00 beta=90.00 gamma=90.00
Space group I-42d (No. 122)
One atom of each set of equivalent atoms:
Hg 0.221 0.250 0.125 x8
Pb 0.000 0.000 0.500 x4
S 0.000 0.000 0.000 x4

***

# 5
Below is a geometry-optimized HgPb4S5 structure, with properties calculated at the PBE level.

Calculated values
formation energy without anion corrections	-414	meV per atom
E above lowest polymorph	0	meV/atom
volume	773.8	Å³ per cell
uncorrected energy	-3.991	eV/atom
spin magnetization	0.000	μB/f.u.

Unit cell a=4.1905 b=4.1905 c=50.8822 alpha=90.00 beta=90.00 gamma=120.00
Space group R-3m (No. 166, hexagonal axes)
One atom of each set of equivalent atoms:
Hg 0.0000 0.0000 0.0000 x3
Pb 0.0000 0.0000 0.2011 x6
Pb 0.0000 0.0000 0.3967 x6
S 0.0000 0.0000 0.0979 x6
S 0.0000 0.0000 0.3040 x6
S 0.0000 0.0000 0.5000 x3

***

# 6
Below is a geometry-optimized HgPbS2 structure, with properties calculated at the PBE level.

Calculated values
formation energy without anion corrections	31	meV per atom
E above lowest polymorph	316	meV/atom
volume	357.3	Å³ per cell
uncorrected energy	-3.035	eV/atom
spin magnetization	0.000	μB/f.u.

Unit cell a=7.096 b=7.096 c=7.096 alpha=90.00 beta=90.00 gamma=90.00
Space group Fm-3m (No. 225)
One atom of each set of equivalent atoms:
Hg 0.000 0.000 0.000 x4
Pb 0.000 0.000 0.500 x4
S 0.250 0.250 0.250 x8

***

# 7
Below is a geometry-optimized Hg2Pb2S structure, with properties calculated at the PBE level.

Calculated values
formation energy without anion corrections	124	meV per atom
E above lowest polymorph	155	meV/atom
volume	271.5	Å³ per cell
uncorrected energy	-2.305	eV/atom
spin magnetization	0.000	μB/f.u.

Unit cell a=7.455 b=7.455 c=4.885 alpha=90.00 beta=90.00 gamma=90.00
Space group P4/mbm (No. 127)
One atom of each set of equivalent atoms:
Hg 0.140 0.360 0.000 x4
Pb 0.165 0.665 0.500 x4
S 0.000 0.000 0.000 x2

***

# 8
Below is a geometry-optimized HgPbS structure, with properties calculated at the PBE level.

Calculated values
formation energy without anion corrections	-178	meV per atom
E above lowest polymorph	129	meV/atom
volume	175.3	Å³ per cell
uncorrected energy	-2.891	eV/atom
spin magnetization	0.000	μB/f.u.

Unit cell a=3.698 b=3.698 c=12.822 alpha=90.00 beta=90.00 gamma=90.00
Space group I4mm (No. 107)
One atom of each set of equivalent atoms:
Hg 0.000 0.000 0.000 x2
Pb 0.000 0.000 0.285 x2
S 0.000 0.000 0.693 x2

***

# 9
Below is a geometry-optimized HgPb4S5 structure, with properties calculated at the PBE level.

Calculated values
formation energy without anion corrections	-409	meV per atom
E above lowest polymorph	5	meV/atom
volume	522.3	Å³ per cell
uncorrected energy	-3.986	eV/atom
spin magnetization	0.000	μB/f.u.

Unit cell a=9.318 b=9.318 c=6.016 alpha=90.00 beta=90.00 gamma=90.00
Space group I4 (No. 79)
One atom of each set of equivalent atoms:
Hg 0.000 0.000 0.000 x2
Pb 0.101 0.298 0.534 x8
S 0.000 0.000 0.550 x2
S 0.098 0.285 0.051 x8

***

# 10
Below is a geometry-optimized HgPbS structure, with properties calculated at the PBE level.

Calculated values
formation energy without anion corrections	-253	meV per atom
E above lowest polymorph	55	meV/atom
volume	90.9	Å³ per cell
uncorrected energy	-2.965	eV/atom
spin magnetization	0.000	μB/f.u.

Unit cell a=4.2180 b=4.2180 c=5.8984 alpha=90.00 beta=90.00 gamma=120.00
Space group P3m1 (No. 156)
One atom of each set of equivalent atoms:
Hg 0.0000 0.0000 0.0000 x1
Pb 0.6667 0.3333 0.4020 x1
S 0.3333 0.6667 0.6336 x1

***

# 11
Below is a geometry-optimized HgPbS2 structure, with properties calculated at the PBE level.

Calculated values
formation energy without anion corrections	195	meV per atom
E above lowest polymorph	480	meV/atom
volume	325.2	Å³ per cell
uncorrected energy	-2.871	eV/atom
spin magnetization	0.000	μB/f.u.

Unit cell a=3.8246 b=3.8246 c=25.6753 alpha=90.00 beta=90.00 gamma=120.00
Space group R-3m (No. 166, hexagonal axes)
One atom of each set of equivalent atoms:
Hg 0.0000 0.0000 0.0000 x3
Pb 0.0000 0.0000 0.5000 x3
S 0.0000 0.0000 0.3915 x6

***

# 12
Below is a geometry-optimized HgPbS2 structure, with properties calculated at the PBE level.

Calculated values
formation energy without anion corrections	-227	meV per atom
E above lowest polymorph	58	meV/atom
volume	501.7	Å³ per cell
uncorrected energy	-3.293	eV/atom
spin magnetization	0.000	μB/f.u.

Unit cell a=6.345 b=6.345 c=12.462 alpha=90.00 beta=90.00 gamma=90.00
Space group I-42d (No. 122)
One atom of each set of equivalent atoms:
Hg 0.000 0.000 0.000 x4
Pb 0.000 0.000 0.500 x4
S 0.216 0.250 0.125 x8

***

# 13
Below is a geometry-optimized HgPbS structure, with properties calculated at the PBE level.

Calculated values
formation energy without anion corrections	-308	meV per atom
E above lowest polymorph	0	meV/atom
volume	337.4	Å³ per cell
uncorrected energy	-3.020	eV/atom
spin magnetization	0.000	μB/f.u.

Unit cell a=5.993 b=6.031 c=9.336 alpha=90.00 beta=90.43 gamma=90.00
Space group C2/m (No. 12)
One atom of each set of equivalent atoms:
Hg 0.250 0.250 0.000 x4
Pb 0.248 0.000 0.347 x4
S 0.248 0.500 0.359 x4

***

# 14
Below is a geometry-optimized Hg2Pb2S structure, with properties calculated at the PBE level.

Calculated values
formation energy without anion corrections	40	meV per atom
E above lowest polymorph	71	meV/atom
volume	283.7	Å³ per cell
uncorrected energy	-2.390	eV/atom
spin magnetization	0.000	μB/f.u.

Unit cell a=4.060 b=4.060 c=17.212 alpha=90.00 beta=90.00 gamma=90.00
Space group I4/mmm (No. 139)
One atom of each set of equivalent atoms:
Hg 0.000 0.500 0.250 x4
Pb 0.000 0.000 0.089 x4
S 0.000 0.000 0.500 x2

***

# 15
Below is a geometry-optimized HgPb3S4 structure, with properties calculated at the PBE level.

Calculated values
formation energy without anion corrections	-350	meV per atom
volume	477.2	Å³ per cell
uncorrected energy	-3.842	eV/atom
spin magnetization	0.000	μB/f.u.

Unit cell a=8.583 b=9.156 c=6.073 alpha=90.00 beta=90.00 gamma=90.00
Space group Pmn2_1 (No. 31)
One atom of each set of equivalent atoms:
Hg 0.000 0.186 0.000 x2
Pb 0.000 0.885 0.481 x2
Pb 0.222 0.655 0.986 x4
S 0.000 0.214 0.458 x2
S 0.000 0.905 0.955 x2
S 0.239 0.672 0.456 x4

***

# 16
Below is a geometry-optimized Hg2PbS structure, with properties calculated at the PBE level.

Calculated values
formation energy without anion corrections	136	meV per atom
volume	345.1	Å³ per cell
uncorrected energy	-1.974	eV/atom
spin magnetization	0.000	μB/f.u.

Unit cell a=3.7995 b=3.7995 c=27.6036 alpha=90.00 beta=90.00 gamma=120.00
Space group R-3m (No. 166, hexagonal axes)
One atom of each set of equivalent atoms:
Hg 0.0000 0.0000 0.1064 x6
Pb 0.0000 0.0000 0.0000 x3
S 0.0000 0.0000 0.5000 x3

***

# 17
Below is a geometry-optimized HgPbS2 structure, with properties calculated at the PBE level.

Calculated values
formation energy without anion corrections	-279	meV per atom
E above lowest polymorph	5	meV/atom
volume	430.5	Å³ per cell
uncorrected energy	-3.346	eV/atom
spin magnetization	0.000	μB/f.u.

Unit cell a=7.113 b=4.021 c=15.054 alpha=90.00 beta=90.00 gamma=90.00
Space group Pnma (No. 62)
One atom of each set of equivalent atoms:
Hg 0.100 0.250 0.093 x4
Pb 0.132 0.750 0.335 x4
S 0.172 0.750 0.713 x4
S 0.223 0.750 0.965 x4

***

# 18
Below is a geometry-optimized Hg6PbS8 structure, with properties calculated at the PBE level.

Calculated values
formation energy without anion corrections	32	meV per atom
volume	1089.0	Å³ per cell
uncorrected energy	-2.538	eV/atom
spin magnetization	0.000	μB/f.u.

Unit cell a=11.0468 b=11.0468 c=10.3046 alpha=90.00 beta=90.00 gamma=120.00
Space group R-3 (No. 148, hexagonal axes)
One atom of each set of equivalent atoms:
Hg 0.0330 0.7935 0.1585 x18
Pb 0.0000 0.0000 0.5000 x3
S 0.0000 0.0000 0.1964 x6
S 0.0508 0.6129 0.2925 x18

***

# 19
Below is a geometry-optimized Hg2SbPbS structure, with properties calculated at the PBE level.

Calculated values
formation energy without anion corrections	317	meV per atom
volume	147.1	Å³ per cell
uncorrected energy	-2.195	eV/atom
spin magnetization	0.000	μB/f.u.

Unit cell a=5.156 b=5.156 c=5.534 alpha=90.00 beta=90.00 gamma=90.00
Space group P4/mmm (No. 123)
One atom of each set of equivalent atoms:
Hg 0.000 0.500 0.000 x2
Sb 0.000 0.000 0.500 x1
Pb 0.500 0.500 0.500 x1
S 0.000 0.000 0.000 x1

***

# 20
Below is a geometry-optimized Si2HgPbS6 structure, with properties calculated at the PBE level.

Calculated values
formation energy without anion corrections	-487	meV per atom
volume	1045.4	Å³ per cell
uncorrected energy	-4.449	eV/atom
spin magnetization	0.000	μB/f.u.

Unit cell a=12.756 b=13.471 c=6.373 alpha=90.00 beta=107.33 gamma=90.00
Space group C2/c (No. 15)
One atom of each set of equivalent atoms:
Si 0.206 0.068 0.209 x8
Hg 0.000 0.189 0.750 x4
Pb 0.000 0.403 0.250 x4
S 0.121 0.422 0.719 x8
S 0.138 0.210 0.094 x8
S 0.140 0.053 0.486 x8

***

# 21
Below is a geometry-optimized SiHg2PbS structure, with properties calculated at the PBE level.

Calculated values
formation energy without anion corrections	299	meV per atom
volume	140.2	Å³ per cell
uncorrected energy	-2.473	eV/atom
spin magnetization	0.000	μB/f.u.

Unit cell a=4.917 b=4.917 c=5.800 alpha=90.00 beta=90.00 gamma=90.00
Space group P4/mmm (No. 123)
One atom of each set of equivalent atoms:
Si 0.000 0.000 0.000 x1
Hg 0.000 0.500 0.000 x2
Pb 0.000 0.000 0.500 x1
S 0.500 0.500 0.500 x1

***

# 22
Below is a geometry-optimized SnHgPb2S structure, with properties calculated at the PBE level.

Calculated values
formation energy without anion corrections	1225	meV per atom
volume	310.5	Å³ per cell
uncorrected energy	-1.945	eV/atom
spin magnetization	0.000	μB/f.u.

Unit cell a=6.755 b=6.755 c=6.805 alpha=90.00 beta=90.00 gamma=90.00
Space group P4/mmm (No. 123)
One atom of each set of equivalent atoms:
Sn 0.000 0.000 0.000 x1
Hg 0.000 0.000 0.500 x1
Pb 0.000 0.500 0.500 x2
S 0.500 0.500 0.000 x1

***

# 23
Below is a geometry-optimized Sn2HgPbS4 structure, with properties calculated at the PBE level.

Calculated values
formation energy without anion corrections	-316	meV per atom
volume	196.6	Å³ per cell
uncorrected energy	-3.882	eV/atom
spin magnetization	0.000	μB/f.u.

Unit cell a=7.143 b=4.101 c=7.157 alpha=90.00 beta=110.34 gamma=90.00
Space group P2/m (No. 10)
One atom of each set of equivalent atoms:
Sn 0.000 0.000 0.000 x1
Sn 0.500 0.500 0.000 x1
Hg 0.000 0.500 0.500 x1
Pb 0.500 0.000 0.500 x1
S 0.244 0.000 0.750 x2
S 0.248 0.500 0.239 x2

***

# 24
Below is a geometry-optimized SnHgPb2S5 structure, with properties calculated at the PBE level.

Calculated values
formation energy without anion corrections	-326	meV per atom
volume	935.1	Å³ per cell
uncorrected energy	-3.922	eV/atom
spin magnetization	0.000	μB/f.u.

Unit cell a=3.948 b=19.047 c=12.435 alpha=90.00 beta=90.00 gamma=90.00
Space group Cmc2_1 (No. 36)
One atom of each set of equivalent atoms:
Sn 0.000 0.044 0.000 x4
Hg 0.000 0.289 0.591 x4
Pb 0.000 0.356 0.238 x4
Pb 0.000 0.367 0.887 x4
S 0.000 0.023 0.339 x4
S 0.000 0.152 0.576 x4
S 0.000 0.167 0.948 x4
S 0.000 0.209 0.245 x4
S 0.000 0.476 0.616 x4